No. 1
Material: NaB5H5
Method: DFT, meta-GGA SCAN
State: PBEsol geometry

Cell and atoms, written as CIF:
```
data_NaB5H5
_chemical_formula_sum 'Na8 B40 H40'
_symmetry_space_group_name_H-M 'P 1'
_symmetry_Int_Tables_number 1
_cell_length_a 6.5970
_cell_length_b 12.0532
_cell_length_c 12.5465
_cell_angle_alpha 90.00
_cell_angle_beta 120.04
_cell_angle_gamma 90.00
loop_
_symmetry_equiv_pos_as_xyz
'x,y,z'
loop_
_atom_site_label
_atom_site_type_symbol
_atom_site_fract_x
_atom_site_fract_y
_atom_site_fract_z
Na1 Na 0.1457 0.1231 0.4632
Na2 Na 0.1457 0.3769 0.9632
Na3 Na 0.2210 0.6233 0.5054
Na4 Na 0.2210 0.8767 0.0054
Na5 Na 0.7790 0.1233 0.9946
Na6 Na 0.7790 0.3767 0.4946
Na7 Na 0.8543 0.6231 0.0368
Na8 Na 0.8543 0.8769 0.5368
B1 B 0.2300 0.1475 0.2048
B2 B 0.2300 0.3525 0.7048
B3 B 0.2746 0.1067 0.0883
B4 B 0.2746 0.3933 0.5883
B5 B 0.2902 0.6851 0.2028
B6 B 0.2902 0.8149 0.7028
B7 B 0.3065 0.6454 0.0767
B8 B 0.3065 0.8546 0.5767
B9 B 0.3301 0.5414 0.1744
B10 B 0.3301 0.9586 0.6744
B11 B 0.3690 0.0164 0.2086
B12 B 0.3690 0.4836 0.7086
B13 B 0.4286 0.0817 0.3487
B14 B 0.4286 0.4183 0.8487
B15 B 0.4305 0.5876 0.3283
B16 B 0.4305 0.9124 0.8283
B17 B 0.4318 0.2193 0.1683
B18 B 0.4318 0.2807 0.6683
B19 B 0.4682 0.2259 0.3210
B20 B 0.4682 0.2741 0.8210
B21 B 0.5318 0.7259 0.1790
B22 B 0.5318 0.7741 0.6790
B23 B 0.5682 0.7193 0.3317
B24 B 0.5682 0.7807 0.8317
B25 B 0.5695 0.0876 0.1717
B26 B 0.5695 0.4124 0.6717
B27 B 0.5714 0.5817 0.1513
B28 B 0.5714 0.9183 0.6513
B29 B 0.6310 0.5164 0.2914
B30 B 0.6310 0.9836 0.7914
B31 B 0.6699 0.0414 0.3256
B32 B 0.6699 0.4586 0.8256
B33 B 0.6935 0.1454 0.4233
B34 B 0.6935 0.3546 0.9233
B35 B 0.7098 0.1851 0.2972
B36 B 0.7098 0.3149 0.7972
B37 B 0.7254 0.6067 0.4117
B38 B 0.7254 0.8933 0.9117
B39 B 0.7700 0.6475 0.2952
B40 B 0.7700 0.8525 0.7952
H1 H 0.0399 0.1713 0.1904
H2 H 0.0399 0.3287 0.6904
H3 H 0.1240 0.7368 0.1928
H4 H 0.1240 0.7632 0.6928
H5 H 0.1420 0.0939 0.9793
H6 H 0.1420 0.4061 0.4793
H7 H 0.1705 0.6577 0.9681
H8 H 0.1705 0.8423 0.4681
H9 H 0.1949 0.0361 0.6406
H10 H 0.1949 0.4639 0.1406
H11 H 0.2978 0.5776 0.6962
H12 H 0.2978 0.9224 0.1962
H13 H 0.3243 0.5519 0.3760
H14 H 0.3243 0.9481 0.8760
H15 H 0.3545 0.0335 0.4063
H16 H 0.3545 0.4665 0.9063
H17 H 0.4155 0.1881 0.8507
H18 H 0.4155 0.3119 0.3507
H19 H 0.4332 0.1934 0.6221
H20 H 0.4332 0.3066 0.1221
H21 H 0.5668 0.6934 0.8779
H22 H 0.5668 0.8066 0.3779
H23 H 0.5845 0.6881 0.6493
H24 H 0.5845 0.8119 0.1493
H25 H 0.6455 0.5335 0.0937
H26 H 0.6455 0.9665 0.5937
H27 H 0.6757 0.0519 0.1240
H28 H 0.6757 0.4481 0.6240
H29 H 0.7022 0.0776 0.8038
H30 H 0.7022 0.4224 0.3038
H31 H 0.8051 0.5361 0.8594
H32 H 0.8051 0.9639 0.3594
H33 H 0.8295 0.1577 0.5319
H34 H 0.8295 0.3423 0.0319
H35 H 0.8580 0.5939 0.5207
H36 H 0.8580 0.9061 0.0207
H37 H 0.8760 0.2368 0.3072
H38 H 0.8760 0.2632 0.8072
H39 H 0.9601 0.6713 0.3096
H40 H 0.9601 0.8287 0.8096
```

---

No. 2
Material: HfZrAu2
Method: DFT, meta-GGA SCAN
State: PBEsol geometry

Cell and atoms, written as CIF:
```
data_HfZrAu2
_chemical_formula_sum 'Hf1 Zr1 Au2'
_symmetry_space_group_name_H-M 'P 1'
_symmetry_Int_Tables_number 1
_cell_length_a 4.7595
_cell_length_b 4.7595
_cell_length_c 4.7595
_cell_angle_alpha 60.00
_cell_angle_beta 60.00
_cell_angle_gamma 60.00
loop_
_symmetry_equiv_pos_as_xyz
'x,y,z'
loop_
_atom_site_label
_atom_site_type_symbol
_atom_site_fract_x
_atom_site_fract_y
_atom_site_fract_z
Hf1 Hf 0.0000 0.0000 0.0000
Zr1 Zr 0.5000 0.5000 0.5000
Au1 Au 0.2500 0.2500 0.2500
Au2 Au 0.7500 0.7500 0.7500
```

Output
**ΔE_f**: -0.644 eV per atom

---

No. 3
Material: As4PtAu
Method: DFT, meta-GGA SCAN
State: PBEsol geometry

Cell and atoms, written as CIF:
```
data_As4PtAu
_chemical_formula_sum 'As4 Pt1 Au1'
_symmetry_space_group_name_H-M 'P 1'
_symmetry_Int_Tables_number 1
_cell_length_a 5.3798
_cell_length_b 5.3798
_cell_length_c 5.3798
_cell_angle_alpha 60.00
_cell_angle_beta 60.00
_cell_angle_gamma 60.00
loop_
_symmetry_equiv_pos_as_xyz
'x,y,z'
loop_
_atom_site_label
_atom_site_type_symbol
_atom_site_fract_x
_atom_site_fract_y
_atom_site_fract_z
As1 As 0.3771 0.3771 0.3771
As2 As 0.3771 0.3771 0.8686
As3 As 0.3771 0.8686 0.3771
As4 As 0.8686 0.3771 0.3771
Pt1 Pt 0.0000 0.0000 0.0000
Au1 Au 0.7500 0.7500 0.7500
```

Output
**ΔE_f**: 0.708 eV per atom

---

No. 4
Material: Cu2TcI
Method: DFT, meta-GGA SCAN
State: PBEsol geometry

Cell and atoms, written as CIF:
```
data_Cu2TcI
_chemical_formula_sum 'Cu2 Tc1 I1'
_symmetry_space_group_name_H-M 'P 1'
_symmetry_Int_Tables_number 1
_cell_length_a 4.4775
_cell_length_b 4.4775
_cell_length_c 4.4775
_cell_angle_alpha 60.00
_cell_angle_beta 60.00
_cell_angle_gamma 60.00
loop_
_symmetry_equiv_pos_as_xyz
'x,y,z'
loop_
_atom_site_label
_atom_site_type_symbol
_atom_site_fract_x
_atom_site_fract_y
_atom_site_fract_z
Cu1 Cu 0.2500 0.2500 0.2500
Cu2 Cu 0.7500 0.7500 0.7500
Tc1 Tc 0.0000 0.0000 0.0000
I1 I 0.5000 0.5000 0.5000
```

Output
**ΔE_f (raw)**: 4.722 eV/f.u.

---

| no. | calculated total energy (eV per atom) | total magnetization (μB/atom) |
| --- | --- | --- |
| 1 | -5.628 | 0.000 |
| 2 | -58.566 | 0.001 |
| 3 | -35.977 | 0.000 |
| 4 | -24.369 | 0.712 |